Entry 1:
# PBEsol BaRe2Si, optimized geometry
# Size of the total moment in μB/f.u.: 0.00
# Uncorrected formation energy in meV per atom: 707
# Uncorrected energy in eV per cell: -31.73
# Crystal system: monoclinic
data_BaRe2Si
_chemical_formula_sum 'Ba1 Re2 Si1'
_cell_length_a 4.031
_cell_length_b 4.385
_cell_length_c 5.441
_cell_angle_alpha 90.00
_cell_angle_beta 97.71
_cell_angle_gamma 90.00
_space_group_name_H-M_alt 'P 1 2/m 1'
_space_group_IT_number 10
_space_group_name_Hall '-P 2y'
loop_
_atom_site_label
_atom_site_fract_x
_atom_site_fract_y
_atom_site_fract_z
_atom_site_occupancy
Ba1 0.000 0.000 0.000 1
Re1 0.274 0.500 0.617 1
Si1 0.500 0.000 0.500 1

***

Entry 2:
# PBEsol ZnCuW, optimized geometry
# Size of the total moment in μB/f.u.: 0.10
# Energy relative to the elements in eV/f.u.: 3.2
# Uncorrected energy in eV per cell: -65.94
# Crystal system: cubic
data_ZnCuW
_chemical_formula_sum 'Zn4 Cu4 W4'
_cell_length_a 5.667
_cell_length_b 5.667
_cell_length_c 5.667
_cell_angle_alpha 90.00
_cell_angle_beta 90.00
_cell_angle_gamma 90.00
_space_group_name_H-M_alt 'F -4 3 m'
_space_group_IT_number 216
_space_group_name_Hall 'F -4 2 3'
loop_
_atom_site_label
_atom_site_fract_x
_atom_site_fract_y
_atom_site_fract_z
_atom_site_occupancy
Zn1 0.000 0.000 0.000 1
Cu1 0.250 0.250 0.750 1
W1 0.250 0.250 0.250 1

***

Entry 3:
# PBEsol Zn2TeP, optimized geometry
# Size of the total moment in μB/f.u.: 0.00
# Uncorrected formation energy in meV per atom: 391
# Uncorrected energy in eV per cell: -10.92
# Crystal system: tetragonal
data_Zn2TeP
_chemical_formula_sum 'Zn2 Te1 P1'
_cell_length_a 4.472
_cell_length_b 4.472
_cell_length_c 3.676
_cell_angle_alpha 90.00
_cell_angle_beta 90.00
_cell_angle_gamma 90.00
_space_group_name_H-M_alt 'P 4/m m m'
_space_group_IT_number 123
_space_group_name_Hall '-P 4 2'
loop_
_atom_site_label
_atom_site_fract_x
_atom_site_fract_y
_atom_site_fract_z
_atom_site_occupancy
Zn1 0.000 0.500 0.000 1
Te1 0.000 0.000 0.500 1
P1 0.500 0.500 0.500 1

***

Entry 4:
# PBEsol KRbOF2, optimized geometry
# Size of the total moment in μB/f.u.: 2.01
# Uncorrected formation energy in meV per atom: -1300
# Uncorrected energy in eV per cell: -17.76
# Crystal system: tetragonal
data_KRbOF2
_chemical_formula_sum 'K1 Rb1 O1 F2'
_cell_length_a 4.885
_cell_length_b 4.885
_cell_length_c 4.800
_cell_angle_alpha 90.00
_cell_angle_beta 90.00
_cell_angle_gamma 90.00
_space_group_name_H-M_alt 'P 4/m m m'
_space_group_IT_number 123
_space_group_name_Hall '-P 4 2'
loop_
_atom_site_label
_atom_site_fract_x
_atom_site_fract_y
_atom_site_fract_z
_atom_site_occupancy
K1 0.000 0.000 0.000 1
Rb1 0.500 0.500 0.500 1
O1 0.000 0.000 0.500 1
F1 0.000 0.500 0.000 1